## Ni3PbC4O12 (PBE+U)

Data for crystalline Ni3PbC4O12 at its relaxed geometry.

Its electronic total energy is -6.70 eV per atom.

The structure belongs to space group R32 (No. 155, hexagonal axes); the cell edges are 9.6515, 9.6515 and 7.9823 Å and the angles 90.00°, 90.00° and 120.00°. The asymmetric unit holds Ni at (0.0000, 0.5458, 0.0000), Pb at (0.0000, 0.0000, 0.0000), C at (0.0000, 0.0000, 0.5000), C at (0.0000, 0.4532, 0.5000), O at (0.0000, 0.5891, 0.5000), O at (0.0000, 0.8651, 0.5000) and O at (0.0107, 0.2112, 0.1930).